(1)
A plane-wave DFT calculation with GGA-PBE was carried out for a geometry-optimized TeMoI2Cl structure.

abc: 5.5237 5.5237 5.7380
angles: 90.00 90.00 90.00
With the nearest neighbours (Å) after each atom.
Space group P4/mmm (No. 123)
Asymmetric unit:
Te (0.0000, 0.0000, 0.0000)  2 Cl 2.87
Mo (0.5000, 0.5000, 0.0000)  4 Te 3.91, 8 I 3.98
I (0.0000, 0.5000, 0.5000)  2 Cl 2.76
Cl (0.0000, 0.0000, 0.5000)  4 I 2.76, 2 Te 2.87

Summary:
As for the uncorrected formation energy: 6.1 eV/f.u. The calculation puts the density of states at the Fermi level at 3.2 states/eV/f.u. Its energy relative to the lowest polymorph listed for this composition is 955.2 meV per atom.

---

(2)
A plane-wave DFT calculation with GGA-PBE was carried out for a geometry-optimized TeMoI2Cl structure.

abc: 5.4739 5.4739 5.2347
angles: 90.00 90.00 90.00
With the nearest neighbours (Å) after each atom.
Space group P4/mmm (No. 123)
Asymmetric unit:
Te (0.0000, 0.0000, 0.0000)  2 Mo 2.62
Mo (0.0000, 0.0000, 0.5000)  2 Te 2.62, 4 I 2.74
I (0.0000, 0.5000, 0.5000)  2 Mo 2.74
Cl (0.5000, 0.5000, 0.0000)  8 I 3.79, 4 Te 3.87

Summary:
As for the uncorrected formation energy: 1.3 eV/f.u. The calculation puts the density of states at the Fermi level at 3.9 states/eV/f.u. Its energy relative to the lowest polymorph listed for this composition is 0.0 meV per atom.

---

(3)
A plane-wave DFT calculation with GGA-PBE was carried out for a geometry-optimized Te2MoICl structure.

abc: 5.4985 5.4985 5.4326
angles: 90.00 90.00 90.00
With the nearest neighbours (Å) after each atom.
Space group P4/mmm (No. 123)
Asymmetric unit:
Te (0.0000, 0.5000, 0.0000)  2 Cl 2.75
Mo (0.0000, 0.0000, 0.5000)  8 Te 3.86, 4 I 3.89
I (0.5000, 0.5000, 0.5000)  2 Cl 2.72
Cl (0.5000, 0.5000, 0.0000)  2 I 2.72, 4 Te 2.75

Summary:
As for the uncorrected formation energy: 6.5 eV/f.u. The calculation puts the density of states at the Fermi level at 5.7 states/eV/f.u. Its energy relative to the lowest polymorph listed for this composition is 1042.7 meV per atom.

---

(4)
A plane-wave DFT calculation with GGA-PBE was carried out for a geometry-optimized TeMoI2Cl structure.

abc: 5.6508 5.6508 4.9433
angles: 90.00 90.00 90.00
With the nearest neighbours (Å) after each atom.
Space group P4/mmm (No. 123)
Asymmetric unit:
Te (0.0000, 0.0000, 0.0000)  8 I 3.75, 4 Cl 4.00
Mo (0.5000, 0.5000, 0.5000)  2 Cl 2.47
I (0.0000, 0.5000, 0.5000)  2 Mo 2.83
Cl (0.5000, 0.5000, 0.0000)  2 Mo 2.47

Summary:
As for the uncorrected formation energy: 1.5 eV/f.u. The calculation puts the density of states at the Fermi level at 3.4 states/eV/f.u. Its energy relative to the lowest polymorph listed for this composition is 34.5 meV per atom.

---

(5)
A plane-wave DFT calculation with GGA-PBE was carried out for a geometry-optimized Tl3MoI2Cl6 structure.

abc: 16.6080 8.6440 5.8480
angles: 90.00 90.45 90.00
With the nearest neighbours (Å) after each atom.
Space group C2/m (No. 12)
Asymmetric unit:
Tl (0.0000, 0.0000, 0.0000)  4 Cl 3.27, 2 I 3.29
Tl (0.2500, 0.2500, 0.5000)  4 Cl 3.41-3.42, 2 I 3.43
Mo (0.0000, 0.5000, 0.5000)  6 Cl 2.35-2.37
I (0.1971, 0.0000, 0.0681)  3 Tl 3.29-3.43
Cl (0.0629, 0.3060, 0.7247)  1 Mo 2.37
Cl (0.1141, 0.5000, 0.2640)  1 Mo 2.35

Summary:
As for the uncorrected formation energy: -9.2 eV/f.u. The calculation puts the density of states at the Fermi level at 9.2 states/eV/f.u.

---

(6)
A plane-wave DFT calculation with GGA-PBE was carried out for a geometry-optimized Tl2MoI2Cl4 structure.

abc: 13.3356 7.2089 7.3951
angles: 90.00 122.76 90.00
With the nearest neighbours (Å) after each atom.
Space group C2/m (No. 12)
Asymmetric unit:
Tl (0.2483, 0.0000, 0.1911)  4 Cl 3.34-3.37, 3 I 3.61-3.72
Mo (0.0000, 0.5000, 0.0000)  4 Cl 2.39
I (0.2442, 0.5000, 0.3133)  1 Mo 2.79
Cl (0.0323, 0.2663, 0.8076)  1 Mo 2.39

Summary:
As for the uncorrected formation energy: -6.9 eV/f.u. The calculation puts the density of states at the Fermi level at 6.9 states/eV/f.u.

---

(7)
A plane-wave DFT calculation with GGA-PBE was carried out for a geometry-optimized NaI2NCl structure.

abc: 6.0162 6.0162 4.8379
angles: 90.00 90.00 90.00
With the nearest neighbours (Å) after each atom.
Space group P4/mmm (No. 123)
Asymmetric unit:
Na (0.0000, 0.0000, 0.0000)  2 N 2.42
I (0.0000, 0.5000, 0.0000)  2 Na 3.01
N (0.0000, 0.0000, 0.5000)  2 Na 2.42
Cl (0.5000, 0.5000, 0.5000)  8 I 3.86, 4 N 4.25

Summary:
As for the uncorrected formation energy: 4.5 eV/f.u. The calculation puts the density of states at the Fermi level at 4.2 states/eV/f.u. Its energy relative to the lowest polymorph listed for this composition is 298.4 meV per atom.

---

(8)
A plane-wave DFT calculation with GGA-PBE was carried out for a geometry-optimized NaI2NCl structure.

abc: 6.9425 6.9425 3.4314
angles: 90.00 90.00 90.00
With the nearest neighbours (Å) after each atom.
Space group P4/mmm (No. 123)
Asymmetric unit:
Na (0.0000, 0.0000, 0.0000)  2 Na 3.43
I (0.0000, 0.5000, 0.5000)  2 I 3.43, 2 Cl 3.47
N (0.5000, 0.5000, 0.0000)  2 Cl 1.72
Cl (0.5000, 0.5000, 0.5000)  2 N 1.72

Summary:
As for the uncorrected formation energy: 3.0 eV/f.u. The calculation puts the density of states at the Fermi level at 4.2 states/eV/f.u. Its energy relative to the lowest polymorph listed for this composition is 0.0 meV per atom.

---

(9)
A plane-wave DFT calculation with GGA-PBE was carried out for a geometry-optimized NbI2NCl structure.

abc: 5.6983 5.6983 3.9256
angles: 90.00 90.00 90.00
With the nearest neighbours (Å) after each atom.
Space group P4/mmm (No. 123)
Asymmetric unit:
Nb (0.0000, 0.0000, 0.0000)  2 N 1.96
I (0.0000, 0.5000, 0.0000)  2 Nb 2.85
N (0.0000, 0.0000, 0.5000)  2 Nb 1.96
Cl (0.5000, 0.5000, 0.5000)  8 I 3.46

Summary:
As for the uncorrected formation energy: 0.5 eV/f.u. The calculation puts the density of states at the Fermi level at 7.1 states/eV/f.u. Its energy relative to the lowest polymorph listed for this composition is 0.0 meV per atom.

---

(10)
A plane-wave DFT calculation with GGA-PBE was carried out for a geometry-optimized NbI2NCl structure.

abc: 6.2488 6.2488 3.3807
angles: 90.00 90.00 90.00
With the nearest neighbours (Å) after each atom.
Space group P4/mmm (No. 123)
Asymmetric unit:
Nb (0.0000, 0.0000, 0.0000)  2 Nb 3.38, 8 I 3.55
I (0.0000, 0.5000, 0.5000)  2 Cl 3.12, 2 I 3.38
N (0.5000, 0.5000, 0.0000)  2 Cl 1.69
Cl (0.5000, 0.5000, 0.5000)  2 N 1.69

Summary:
As for the uncorrected formation energy: 7.8 eV/f.u. The calculation puts the density of states at the Fermi level at 4.8 states/eV/f.u. Its energy relative to the lowest polymorph listed for this composition is 1472.0 meV per atom.

---

(11)
A plane-wave DFT calculation with GGA-PBE was carried out for a geometry-optimized NbIN2Cl structure.

abc: 4.0215 4.0215 5.2070
angles: 90.00 90.00 90.00
With the nearest neighbours (Å) after each atom.
Space group P4/mmm (No. 123)
Asymmetric unit:
Nb (0.0000, 0.0000, 0.0000)  4 I 2.84
I (0.5000, 0.5000, 0.0000)  2 Cl 2.60, 4 Nb 2.84
N (0.0000, 0.5000, 0.5000)  2 Cl 2.01
Cl (0.5000, 0.5000, 0.5000)  4 N 2.01

Summary:
As for the uncorrected formation energy: 12.1 eV/f.u. The calculation puts the density of states at the Fermi level at 6.0 states/eV/f.u. Its energy relative to the lowest polymorph listed for this composition is 1929.9 meV per atom.

---

(12)
A plane-wave DFT calculation with GGA-PBE was carried out for a geometry-optimized NbIN2Cl structure.

abc: 4.0703 4.0703 6.0531
angles: 90.00 90.00 90.00
With the nearest neighbours (Å) after each atom.
Space group P4/mmm (No. 123)
Asymmetric unit:
Nb (0.0000, 0.0000, 0.0000)  4 N 2.04
I (0.0000, 0.0000, 0.5000)  4 Cl 2.88, 2 Nb 3.03
N (0.0000, 0.5000, 0.0000)  2 Nb 2.04
Cl (0.5000, 0.5000, 0.5000)  4 I 2.88

Summary:
As for the uncorrected formation energy: 2.4 eV/f.u. The calculation puts the density of states at the Fermi level at 2.8 states/eV/f.u. Its energy relative to the lowest polymorph listed for this composition is 0.0 meV per atom.

---

(13)
A plane-wave DFT calculation with GGA-PBE was carried out for a geometry-optimized Nd2INCl structure.

abc: 16.4647 4.0605 11.3800
angles: 90.00 131.92 90.00
With the nearest neighbours (Å) after each atom.
Space group C2/m (No. 12)
Asymmetric unit:
Nd (0.0939, 0.0000, 0.3059)  2 N 2.35
Nd (0.1264, 0.5000, 0.0548)  2 N 2.29-2.31
I (0.1726, 0.5000, 0.6073)  5 Nd 3.27-3.59
N (0.0543, 0.5000, 0.1727)  4 Nd 2.29-2.35
Cl (0.1342, 0.0000, 0.8652)  3 Nd 2.85-3.03

Summary:
As for the uncorrected formation energy: -8.0 eV/f.u. The calculation puts the density of states at the Fermi level at 2.4 states/eV/f.u.

---

(14)
A plane-wave DFT calculation with GGA-PBE was carried out for a geometry-optimized NiIN2Cl structure.

abc: 3.7381 3.7381 7.8140
angles: 90.00 90.00 90.00
With the nearest neighbours (Å) after each atom.
Space group P4/mmm (No. 123)
Asymmetric unit:
Ni (0.0000, 0.0000, 0.0000)  4 N 1.87
I (0.0000, 0.0000, 0.5000)  4 Cl 2.64
N (0.0000, 0.5000, 0.0000)  2 Ni 1.87
Cl (0.5000, 0.5000, 0.5000)  4 I 2.64

Summary:
As for the uncorrected formation energy: 7.0 eV/f.u. The calculation puts the density of states at the Fermi level at 3.4 states/eV/f.u. Its energy relative to the lowest polymorph listed for this composition is 0.0 meV per atom.

---

(15)
A plane-wave DFT calculation with GGA-PBE was carried out for a geometry-optimized NiIN2Cl structure.

abc: 3.6778 3.6778 7.6432
angles: 90.00 90.00 90.00
With the nearest neighbours (Å) after each atom.
Space group P4/mmm (No. 123)
Asymmetric unit:
Ni (0.0000, 0.0000, 0.0000)  4 I 2.60
I (0.5000, 0.5000, 0.0000)  4 Ni 2.60
N (0.0000, 0.5000, 0.5000)  2 Cl 1.84
Cl (0.5000, 0.5000, 0.5000)  4 N 1.84

Summary:
As for the uncorrected formation energy: 10.8 eV/f.u. The calculation puts the density of states at the Fermi level at 7.7 states/eV/f.u. Its energy relative to the lowest polymorph listed for this composition is 759.1 meV per atom.

---

(16)
A plane-wave DFT calculation with GGA-PBE was carried out for a geometry-optimized OsI2NCl structure.

abc: 6.9776 6.9776 3.2249
angles: 90.00 90.00 90.00
With the nearest neighbours (Å) after each atom.
Space group P4/mmm (No. 123)
Asymmetric unit:
Os (0.0000, 0.0000, 0.0000)  2 Os 3.22
I (0.0000, 0.5000, 0.5000)  2 I 3.22, 2 Cl 3.49
N (0.5000, 0.5000, 0.0000)  2 Cl 1.61
Cl (0.5000, 0.5000, 0.5000)  2 N 1.61

Summary:
As for the uncorrected formation energy: 10.8 eV/f.u. The calculation puts the density of states at the Fermi level at 4.8 states/eV/f.u. Its energy relative to the lowest polymorph listed for this composition is 1685.7 meV per atom.

---

(17)
A plane-wave DFT calculation with GGA-PBE was carried out for a geometry-optimized OsIN2Cl structure.

abc: 3.8857 3.8857 5.8229
angles: 90.00 90.00 90.00
With the nearest neighbours (Å) after each atom.
Space group P4/mmm (No. 123)
Asymmetric unit:
Os (0.0000, 0.0000, 0.0000)  4 N 1.94
I (0.0000, 0.0000, 0.5000)  4 Cl 2.75, 2 Os 2.91
N (0.0000, 0.5000, 0.0000)  2 Os 1.94
Cl (0.5000, 0.5000, 0.5000)  4 I 2.75

Summary:
As for the uncorrected formation energy: 4.2 eV/f.u. The calculation puts the density of states at the Fermi level at 3.0 states/eV/f.u. Its energy relative to the lowest polymorph listed for this composition is 0.0 meV per atom.

---

(18)
A plane-wave DFT calculation with GGA-PBE was carried out for a geometry-optimized OsI2NCl structure.

abc: 5.5921 5.5921 3.7215
angles: 90.00 90.00 90.00
With the nearest neighbours (Å) after each atom.
Space group P4/mmm (No. 123)
Asymmetric unit:
Os (0.0000, 0.0000, 0.0000)  2 N 1.86
I (0.0000, 0.5000, 0.0000)  2 Os 2.80
N (0.0000, 0.0000, 0.5000)  2 Os 1.86
Cl (0.5000, 0.5000, 0.5000)  8 I 3.36, 2 Cl 3.72

Summary:
As for the uncorrected formation energy: 2.4 eV/f.u. The calculation puts the density of states at the Fermi level at 3.4 states/eV/f.u. Its energy relative to the lowest polymorph listed for this composition is 0.0 meV per atom.

---

(19)
A plane-wave DFT calculation with GGA-PBE was carried out for a geometry-optimized OsIN2Cl structure.

abc: 3.7847 3.7847 6.8111
angles: 90.00 90.00 90.00
With the nearest neighbours (Å) after each atom.
Space group P4/mmm (No. 123)
Asymmetric unit:
Os (0.0000, 0.0000, 0.0000)  4 I 2.68
I (0.5000, 0.5000, 0.0000)  4 Os 2.68
N (0.0000, 0.5000, 0.5000)  2 Cl 1.89
Cl (0.5000, 0.5000, 0.5000)  4 N 1.89

Summary:
As for the uncorrected formation energy: 14.3 eV/f.u. The calculation puts the density of states at the Fermi level at 4.6 states/eV/f.u. Its energy relative to the lowest polymorph listed for this composition is 2017.2 meV per atom.

---

(20)
A plane-wave DFT calculation with GGA-PBE was carried out for a geometry-optimized PINCl2 structure.

abc: 4.3618 4.3618 4.8841
angles: 90.00 90.00 90.00
With the nearest neighbours (Å) after each atom.
Space group P4/mmm (No. 123)
Asymmetric unit:
P (0.0000, 0.0000, 0.0000)  2 N 2.44
I (0.5000, 0.5000, 0.0000)  4 P 3.08, 8 Cl 3.27
N (0.0000, 0.0000, 0.5000)  4 Cl 2.18, 2 P 2.44
Cl (0.0000, 0.5000, 0.5000)  2 N 2.18

Summary:
As for the uncorrected formation energy: 5.6 eV/f.u. The calculation puts the density of states at the Fermi level at 2.9 states/eV/f.u. Its energy relative to the lowest polymorph listed for this composition is 0.0 meV per atom.